Record 1
The following is a DFT calculation (GGA-PBE) of a relaxed Li2ZnSnCl6 crystal.

Computed properties:
Magnetization   0.00 μB per formula unit
E_tot   -3.324 eV per atom
ΔE_f (raw)   -1.306 eV/atom

Unit cell a=7.143 b=7.143 c=7.143 alpha=54.89 beta=54.89 gamma=54.89
Fractional coordinates of all 10 atoms:
Li: 0.000 0.000 0.000
Li: 0.495 0.495 0.495
Zn: 0.692 0.692 0.692
Sn: 0.197 0.197 0.197
Cl: 0.083 0.429 0.762
Cl: 0.290 0.878 0.634
Cl: 0.429 0.762 0.083
Cl: 0.634 0.290 0.878
Cl: 0.762 0.083 0.429
Cl: 0.878 0.634 0.290

=====

Record 2
The following is a DFT calculation (GGA-PBE) of a relaxed YHo2Ti crystal.

Computed properties:
Magnetization   0.00 μB per formula unit
E_tot   -5.678 eV per atom
Energy relative to the lowest polymorph listed for this composition   3.8 kJ per mole of atoms

Unit cell a=11.183 b=11.183 c=11.183 alpha=17.44 beta=17.44 gamma=17.44
Fractional coordinates of all 4 atoms:
Y: 0.000 0.000 0.000
Ho: 0.242 0.242 0.242
Ho: 0.758 0.758 0.758
Ti: 0.500 0.500 0.500

=====

Record 3
The following is a DFT calculation (GGA-PBE) of a relaxed Pr2AgSe crystal.

Computed properties:
Magnetization   0.00 μB per formula unit
E_tot   -4.843 eV per atom
ΔE_f (raw)   -0.869 eV/atom
Energy relative to the lowest polymorph listed for this composition   15.7 kJ per mole of atoms

Unit cell a=3.747 b=3.747 c=7.413 alpha=90.00 beta=90.00 gamma=90.00
Fractional coordinates of all 4 atoms:
Pr: 0.000 0.000 0.244
Pr: 0.000 0.000 0.756
Ag: 0.500 0.500 0.500
Se: 0.500 0.500 0.000

=====

Record 4
The following is a DFT calculation (GGA-PBE) of a relaxed TiGa2Co3 crystal.

Computed properties:
Magnetization   1.02 μB per formula unit
E_tot   -6.315 eV per atom
Energy relative to the lowest polymorph listed for this composition   0.0 kJ per mole of atoms

Unit cell a=4.108 b=4.108 c=10.055 alpha=90.00 beta=90.00 gamma=120.00
Fractional coordinates of all 12 atoms:
Ti: 0.333 0.667 0.169
Ti: 0.667 0.333 0.831
Ga: 0.000 0.000 0.000
Ga: 0.000 0.000 0.500
Ga: 0.333 0.667 0.670
Ga: 0.667 0.333 0.330
Co: 0.000 0.000 0.252
Co: 0.000 0.000 0.748
Co: 0.333 0.667 0.418
Co: 0.333 0.667 0.917
Co: 0.667 0.333 0.083
Co: 0.667 0.333 0.582